# CeHgTeAu

Crystalline CeHgTeAu at its relaxed geometry (PBE, Alexandria via LeMat-Bulk).

Summary:
Space-group type: F-43m, No. 216
Fermi-level density of states (states/eV/f.u.): 6.94
Formation energy without anion corrections (eV/atom): -0.59

Cell lengths 5.288, 5.288, 5.288 Å; angles 60.00, 60.00, 60.00 degrees
Site moments in Bohr magnetons follow the coordinates.
Sites, in units of the cell vectors:
1 Te 0.250 0.250 0.250  -0.04
2 Au 0.750 0.750 0.750  -0.02
3 Hg 0.000 0.000 0.000  -0.01
4 Ce 0.500 0.500 0.500  0.81